No. 1
An optimized crystal structure of CsBiSb2Te, computed with PBE-GGA.

Values from the calculation:
Magnetic moment, μB per cell: 1.4
Uncorrected formation energy, eV per atom: 0.200

a b c (Å): 5.965 5.965 6.257
angles (deg): 90.00 90.00 90.00
Site moments in Bohr magnetons follow the coordinates.
Fractional positions:
Cs  0.500  0.500  0.500  0.01
Sb  0.500  0.000  0.000  0.22
Bi  0.000  0.000  0.000  -0.02
Sb  0.000  0.500  0.000  0.22
Te  0.000  0.000  0.500  0.12

=====

No. 2
An optimized crystal structure of Cs2BiSbTe4, computed with PBE-GGA.

Values from the calculation:
Magnetic moment, μB per cell: 0.0
Uncorrected formation energy, eV per atom: -0.517

a b c (Å): 9.778 9.778 9.830
angles (deg): 120.17 120.17 90.00
Fractional positions:
Te  0.764  0.306  0.535
Sb  0.500  0.500  0.500
Cs  0.000  0.000  0.500
Cs  0.500  0.500  0.000
Bi  0.000  0.500  0.000
Te  0.806  0.264  0.035
Cs  0.500  0.000  0.500
Te  0.233  0.267  0.042
Sb  0.000  0.000  0.000
Te  0.233  0.267  0.458
Te  0.767  0.733  0.958
Cs  0.500  0.000  0.000
Bi  0.000  0.500  0.500
Te  0.236  0.694  0.465
Te  0.767  0.733  0.542
Te  0.194  0.736  0.965

=====

No. 3
An optimized crystal structure of Cs2TlBiSb2, computed with PBE-GGA.

Values from the calculation:
Magnetic moment, μB per cell: 0.0
Uncorrected formation energy, eV per atom: -0.275

a b c (Å): 8.067 7.991 10.175
angles (deg): 113.12 113.35 90.00
Fractional positions:
Sb  0.175  0.906  0.813
Tl  0.000  0.750  0.000
Sb  0.362  0.594  0.187
Tl  0.000  0.250  0.000
Bi  0.500  0.250  0.000
Sb  0.825  0.094  0.187
Cs  0.932  0.667  0.335
Cs  0.068  0.333  0.665
Sb  0.638  0.406  0.813
Cs  0.597  0.833  0.665
Cs  0.403  0.167  0.335
Bi  0.500  0.750  0.000

=====

No. 4
An optimized crystal structure of CsTlBiSb, computed with PBE-GGA.

Values from the calculation:
Magnetic moment, μB per cell: 0.0
Uncorrected formation energy, eV per atom: -0.195

a b c (Å): 4.508 4.945 8.216
angles (deg): 107.49 105.92 90.00
Fractional positions:
Tl  0.676  0.240  0.352
Cs  0.307  0.873  0.613
Sb  0.024  0.160  0.047
Bi  0.529  0.595  0.058

=====

No. 5
An optimized crystal structure of Cs2ZrBiSb, computed with PBE-GGA.

Values from the calculation:
Magnetic moment, μB per cell: 0.0
Uncorrected formation energy, eV per atom: 0.421

a b c (Å): 7.191 5.538 7.191
angles (deg): 90.00 90.00 90.00
Site moments in Bohr magnetons follow the coordinates.
Fractional positions:
Bi  0.500  0.500  0.500  -0.84
Zr  0.000  0.500  0.000  0.93
Sb  0.000  0.000  0.000  -0.08
Cs  0.500  0.000  0.000  -0.01
Cs  0.000  0.000  0.500  -0.01

=====

No. 6
An optimized crystal structure of CsSc3Bi, computed with PBE-GGA.

Values from the calculation:
Final energy, eV for the cell shown: -17.548
Magnetic moment, μB per cell: 0.0

a b c (Å): 5.310 5.310 5.310
angles (deg): 90.00 90.00 90.00
Fractional positions:
Sc  0.500  0.000  0.000
Cs  0.000  0.000  0.000
Sc  0.000  0.500  0.000
Sc  0.000  0.000  0.500
Bi  0.500  0.500  0.500

=====

No. 7
An optimized crystal structure of Cs2ScBi, computed with PBE-GGA.

Values from the calculation:
Final energy, eV for the cell shown: -23.358
Magnetic moment, μB per cell: 0.0

a b c (Å): 14.684 14.684 10.759
angles (deg): 46.97 46.97 90.00
Fractional positions:
Sc  0.500  0.500  0.000
Bi  0.000  0.000  0.000
Bi  0.750  0.250  0.500
Sc  0.250  0.750  0.500
Cs  0.958  0.625  0.250
Cs  0.792  0.125  0.250
Cs  0.375  0.208  0.750
Cs  0.875  0.042  0.750

=====

No. 8
An optimized crystal structure of CsScBi3, computed with PBE-GGA.

Values from the calculation:
Final energy, eV for the cell shown: -12.060
Magnetic moment, μB per cell: 0.0

a b c (Å): 6.108 6.108 6.108
angles (deg): 90.00 90.00 90.00
Fractional positions:
Bi  0.000  0.000  0.500
Bi  0.000  0.500  0.000
Cs  0.000  0.000  0.000
Bi  0.500  0.000  0.000
Sc  0.500  0.500  0.500

=====

No. 9
An optimized crystal structure of Cs2ScBi, computed with PBE-GGA.

Values from the calculation:
Final energy, eV for the cell shown: -9.952
Magnetic moment, μB per cell: 1.0

a b c (Å): 6.409 6.409 6.409
angles (deg): 60.00 60.00 60.00
Site moments in Bohr magnetons follow the coordinates.
Fractional positions:
Cs  0.250  0.250  0.250  0.01
Bi  0.500  0.500  0.500  -0.16
Cs  0.750  0.750  0.750  0.01
Sc  0.000  0.000  0.000  0.78

=====

No. 10
An optimized crystal structure of Cs2ScBi, computed with PBE-GGA.

Values from the calculation:
Final energy, eV for the cell shown: -26.615
Magnetic moment, μB per cell: 1.2

a b c (Å): 5.003 5.006 20.017
angles (deg): 90.00 90.02 90.00
Site moments in Bohr magnetons follow the coordinates.
Fractional positions:
Cs  0.249  0.750  0.103  0.00
Cs  0.250  0.750  0.682  0.00
Bi  0.750  0.250  0.584  0.04
Sc  0.250  0.250  0.500  -0.39
Bi  0.250  0.750  0.416  0.04
Sc  0.750  0.750  0.500  -0.39
Cs  0.751  0.250  0.897  0.00
Cs  0.750  0.250  0.318  0.00

=====

No. 11
An optimized crystal structure of CsScBi3, computed with PBE-GGA.

Values from the calculation:
Final energy, eV for the cell shown: -19.925
Magnetic moment, μB per cell: 0.0

a b c (Å): 5.777 5.777 5.777
angles (deg): 90.00 90.00 90.00
Fractional positions:
Sc  0.000  0.000  0.000
Bi  0.000  0.500  0.000
Bi  0.000  0.000  0.500
Cs  0.500  0.500  0.500
Bi  0.500  0.000  0.000

=====

No. 12
An optimized crystal structure of Cs2Sc2Bi2Se, computed with PBE-GGA.

Values from the calculation:
Magnetic moment, μB per cell: 0.0
Uncorrected formation energy, eV per atom: -0.862

a b c (Å): 5.160 5.160 10.631
angles (deg): 104.04 104.04 90.00
Fractional positions:
Sc  0.000  0.500  0.000
Bi  0.402  0.402  0.804
Cs  0.821  0.821  0.643
Se  0.000  0.000  0.000
Bi  0.598  0.598  0.196
Sc  0.500  0.000  0.000
Cs  0.179  0.179  0.357

=====

No. 13
An optimized crystal structure of CsSrScBi2, computed with PBE-GGA.

Values from the calculation:
Final energy, eV for the cell shown: -14.439
Magnetic moment, μB per cell: 0.6

a b c (Å): 6.288 6.043 6.288
angles (deg): 90.00 90.00 90.00
Site moments in Bohr magnetons follow the coordinates.
Fractional positions:
Sc  0.000  0.500  0.000  0.52
Cs  0.500  0.500  0.500  0.00
Sr  0.000  0.000  0.000  0.04
Bi  0.500  0.000  0.000  -0.05
Bi  0.000  0.000  0.500  -0.08

=====

No. 14
An optimized crystal structure of Cs2ScBiTe4, computed with PBE-GGA.

Values from the calculation:
Magnetic moment, μB per cell: 0.0
Uncorrected formation energy, eV per atom: -0.867

a b c (Å): 7.407 8.765 14.050
angles (deg): 83.60 74.72 65.00
Fractional positions:
Cs  0.819  0.000  0.362
Te  0.178  0.207  0.888
Te  0.572  0.293  0.612
Cs  0.181  0.000  0.638
Te  0.273  0.793  0.112
Sc  0.000  0.000  0.000
Bi  0.250  0.500  0.500
Cs  0.569  0.500  0.862
Bi  0.500  0.000  0.000
Te  0.815  0.707  0.612
Cs  0.931  0.500  0.138
Te  0.935  0.793  0.888
Te  0.615  0.207  0.112
Te  0.477  0.707  0.388
Sc  0.750  0.500  0.500
Te  0.135  0.293  0.388

=====

No. 15
An optimized crystal structure of Cs3ScBi2Te6, computed with PBE-GGA.

Values from the calculation:
Magnetic moment, μB per cell: 0.0
Uncorrected formation energy, eV per atom: -0.826

a b c (Å): 7.929 7.929 9.261
angles (deg): 98.20 98.20 119.97
Fractional positions:
Bi  0.666  0.334  0.000
Te  0.378  0.062  0.186
Cs  0.827  0.173  0.500
Te  0.622  0.938  0.814
Te  0.747  0.747  0.189
Cs  0.173  0.827  0.500
Te  0.253  0.253  0.811
Te  0.938  0.622  0.814
Bi  0.334  0.666  0.000
Te  0.062  0.378  0.186
Cs  0.500  0.500  0.500
Sc  0.000  0.000  0.000

=====

No. 16
An optimized crystal structure of CsBiSe3, computed with PBE-GGA.

Values from the calculation:
Magnetic moment, μB per cell: 0.0
Uncorrected formation energy, eV per atom: 1.035

a b c (Å): 5.754 5.754 5.754
angles (deg): 90.00 90.00 90.00
Fractional positions:
Bi  0.500  0.500  0.500
Se  0.000  0.500  0.000
Cs  0.000  0.000  0.000
Se  0.000  0.000  0.500
Se  0.500  0.000  0.000

=====

No. 17
An optimized crystal structure of Cs2BiSe, computed with PBE-GGA.

Values from the calculation:
Magnetic moment, μB per cell: 0.0
Uncorrected formation energy, eV per atom: -0.486

a b c (Å): 12.613 12.613 9.384
angles (deg): 47.77 47.77 90.00
Fractional positions:
Cs  0.875  0.727  0.750
Cs  0.375  0.523  0.750
Cs  0.273  0.625  0.250
Cs  0.477  0.125  0.250
Bi  0.000  0.000  0.000
Bi  0.750  0.250  0.500
Se  0.250  0.750  0.500
Se  0.500  0.500  0.000

=====

No. 18
An optimized crystal structure of CsBi2Se, computed with PBE-GGA.

Values from the calculation:
Magnetic moment, μB per cell: 0.0
Uncorrected formation energy, eV per atom: -0.065

a b c (Å): 9.707 9.707 7.635
angles (deg): 50.53 50.53 90.00
Fractional positions:
Cs  0.750  0.250  0.500
Bi  0.375  0.450  0.750
Bi  0.200  0.625  0.250
Se  0.500  0.500  0.000
Bi  0.550  0.125  0.250
Bi  0.875  0.800  0.750
Cs  0.000  0.000  0.000
Se  0.250  0.750  0.500

=====

No. 19
An optimized crystal structure of CsBiSe, computed with PBE-GGA.

Values from the calculation:
Magnetic moment, μB per cell: 0.0
Uncorrected formation energy, eV per atom: -0.681

a b c (Å): 5.471 4.846 10.238
angles (deg): 90.00 99.69 90.00
Fractional positions:
Cs  0.691  0.750  0.337
Se  0.177  0.250  0.300
Bi  0.818  0.750  0.959
Bi  0.182  0.250  0.041
Se  0.823  0.750  0.700
Cs  0.309  0.250  0.663

=====

No. 20
An optimized crystal structure of CsBiSe, computed with PBE-GGA.

Values from the calculation:
Magnetic moment, μB per cell: 0.0
Uncorrected formation energy, eV per atom: -0.620

a b c (Å): 8.896 4.863 14.229
angles (deg): 90.00 109.23 90.00
Fractional positions:
Cs  0.453  0.000  0.745
Se  0.762  0.500  0.790
Bi  0.075  0.000  0.333
Bi  0.075  0.500  0.833
Se  0.142  0.000  0.135
Cs  0.829  0.500  0.072
Cs  0.829  0.000  0.572
Se  0.142  0.500  0.635
Cs  0.453  0.500  0.245
Bi  0.235  0.500  0.471
Bi  0.235  0.000  0.971
Se  0.762  0.000  0.290

=====

No. 21
An optimized crystal structure of Cs3Bi7Se12, computed with PBE-GGA.

Values from the calculation:
Magnetic moment, μB per cell: 0.0
Uncorrected formation energy, eV per atom: -0.633

a b c (Å): 14.029 14.029 13.505
angles (deg): 72.53 72.53 17.49
Fractional positions:
Se  0.773  0.773  0.082
Bi  0.913  0.913  0.259
Se  0.231  0.231  0.908
Bi  0.318  0.318  0.519
Bi  0.723  0.723  0.778
Se  0.200  0.200  0.618
Se  0.393  0.393  0.126
Bi  0.279  0.279  0.214
Cs  0.640  0.640  0.115
Bi  0.501  0.501  0.004
Cs  0.367  0.367  0.867
Se  0.829  0.829  0.662
Se  0.169  0.169  0.332
Se  0.575  0.575  0.593
Cs  0.024  0.024  0.436
Se  0.019  0.019  0.147
Se  0.423  0.423  0.409
Bi  0.085  0.085  0.742
Bi  0.679  0.679  0.478
Se  0.607  0.607  0.873
Se  0.981  0.981  0.867
Se  0.798  0.798  0.377

=====

No. 22
An optimized crystal structure of CsBiSe, computed with PBE-GGA.

Values from the calculation:
Magnetic moment, μB per cell: 0.0
Uncorrected formation energy, eV per atom: -0.622

a b c (Å): 7.411 5.265 14.296
angles (deg): 90.00 95.48 90.00
Fractional positions:
Bi  0.332  0.000  0.932
Se  0.737  0.000  0.641
Se  0.737  0.500  0.141
Cs  0.764  0.000  0.352
Bi  0.668  0.000  0.068
Cs  0.764  0.500  0.852
Cs  0.236  0.500  0.148
Se  0.263  0.000  0.359
Cs  0.236  0.000  0.648
Bi  0.332  0.500  0.432
Bi  0.668  0.500  0.568
Se  0.263  0.500  0.859

=====

No. 23
An optimized crystal structure of CsBiSe, computed with PBE-GGA.

Values from the calculation:
Magnetic moment, μB per cell: 0.0
Uncorrected formation energy, eV per atom: -0.590

a b c (Å): 5.304 5.882 10.486
angles (deg): 78.51 75.89 89.96
Fractional positions:
Se  0.500  0.696  0.824
Cs  0.622  0.274  0.607
Se  0.255  0.452  0.329
Bi  0.953  0.592  0.921
Cs  0.369  0.052  0.094
Bi  0.807  0.529  0.222

=====

No. 24
An optimized crystal structure of CsBi2Se3, computed with PBE-GGA.

Values from the calculation:
Magnetic moment, μB per cell: 0.0
Uncorrected formation energy, eV per atom: -0.456

a b c (Å): 7.110 8.282 8.282
angles (deg): 86.64 90.00 90.00
Fractional positions:
Bi  0.000  0.182  0.182
Bi  0.500  0.818  0.818
Se  0.750  0.554  0.833
Se  0.250  0.913  0.087
Se  0.750  0.167  0.446
Cs  0.250  0.332  0.668
Bi  0.500  0.182  0.182
Bi  0.000  0.818  0.818
Se  0.250  0.446  0.167
Se  0.750  0.087  0.913
Se  0.250  0.833  0.554
Cs  0.750  0.668  0.332